Compound: K2SrZrCu
Source: Alexandria
Functional: PBE
Structure: optimized geometry

Geometry as POSCAR:
```
K2SrZrCu
1.0
-2.365 4.615 3.362
-4.613 -2.696 0.456
2.083 -2.691 5.159
Sr K Cu Zr
1 2 1 1
Cartesian
-2.447 -0.386 4.489
1.041 -1.345 2.580
-1.182 2.308 1.681
0.000 0.000 0.000
-2.306 -1.348 0.228
```

crystal system: tetragonal
energy of formation: 0.723 eV per atom

---

Compound: K3TaCu
Source: Alexandria
Functional: PBE
Structure: optimized geometry

Geometry as POSCAR:
```
K3TaCu
1.0
-4.475 -4.013 2.829
3.937 -5.220 -1.177
2.934 0.884 5.895
K Cu Ta
3 1 1
Cartesian
1.968 -2.610 -0.588
1.467 0.442 2.947
-2.238 -2.006 1.415
1.198 -4.175 3.774
0.000 0.000 0.000
```

crystal system: cubic
energy of formation: 1.614 eV per atom

---

Compound: K3TaCu
Source: Alexandria
Functional: PBE
Structure: optimized geometry

Geometry as POSCAR:
```
K3TaCu
1.0
6.113 0.000 0.000
0.000 6.113 0.000
0.000 0.000 6.113
K Cu Ta
3 1 1
Cartesian
0.000 3.056 0.000
0.000 0.000 3.056
3.056 0.000 0.000
0.000 0.000 0.000
3.056 3.056 3.056
```

crystal system: cubic
energy of formation: 1.429 eV per atom

---

Compound: K4TaCu
Source: Alexandria
Functional: PBE
Structure: optimized geometry

Geometry as POSCAR:
```
K4TaCu
1.0
3.677 -0.700 5.938
1.323 5.620 3.992
-3.191 0.724 6.209
K Ta Cu
4 1 1
Cartesian
2.515 1.767 9.020
-0.916 2.478 9.156
1.339 4.924 8.048
0.678 2.117 6.054
1.356 4.232 12.104
0.000 0.000 0.000
```

crystal system: cubic
energy of formation: 1.381 eV per atom

---

Compound: KTaCu2
Source: Alexandria
Functional: PBE
Structure: optimized geometry

Geometry as POSCAR:
```
KTaCu2
1.0
-3.223 -6.244 -1.874
-1.546 -5.892 -3.973
3.121 -2.246 2.116
Cu K Ta
2 1 1
Cartesian
-3.903 -11.211 -5.000
-1.897 -11.196 -3.395
-0.664 -8.053 -1.883
-0.776 -3.247 -1.165
```

crystal system: orthorhombic
energy of formation: 0.639 eV per atom

---

Compound: KTaCu2
Source: Alexandria
Functional: PBE
Structure: optimized geometry

Geometry as POSCAR:
```
KTaCu2
1.0
7.369 0.000 0.000
0.000 7.369 0.000
3.685 3.685 3.491
K Cu Ta
2 4 2
Cartesian
3.685 3.685 0.000
3.685 7.369 1.745
5.947 1.842 0.873
1.422 5.527 0.873
5.527 5.107 2.618
9.211 9.632 2.618
0.000 0.000 0.000
7.369 3.685 1.745
```

crystal system: tetragonal
energy of formation: 1.219 eV per atom

---

Compound: KTaCu2
Source: Alexandria
Functional: PBE
Structure: optimized geometry

Geometry as POSCAR:
```
KTaCu2
1.0
-2.308 1.214 1.209
0.626 -1.291 2.491
5.145 7.302 2.491
Cu K Ta
2 1 1
Cartesian
0.125 0.178 0.061
0.085 1.276 2.298
2.414 3.426 1.169
3.411 5.997 3.909
```

crystal system: tetragonal
energy of formation: 0.611 eV per atom

---

Compound: KTaCu2
Source: Alexandria
Functional: PBE
Structure: optimized geometry

Geometry as POSCAR:
```
KTaCu2
1.0
4.580 -0.003 0.029
3.768 2.604 0.029
0.555 0.173 7.268
Cu K Ta
2 1 1
Cartesian
0.574 0.179 6.569
4.432 1.381 4.363
2.226 0.693 1.832
6.677 2.080 5.495
```

crystal system: monoclinic
energy of formation: 0.601 eV per atom

---

Compound: KTaCu2
Source: Alexandria
Functional: PBE
Structure: optimized geometry

Geometry as POSCAR:
```
KTaCu2
1.0
-1.860 2.841 -0.977
-1.423 -0.057 2.544
4.039 4.616 5.734
Cu K Ta
2 1 1
Cartesian
3.632 4.265 5.488
1.715 2.631 4.384
-0.276 2.560 1.581
1.032 4.840 5.720
```

crystal system: monoclinic
energy of formation: 0.432 eV per atom

---

Compound: KTaCu2
Source: Alexandria
Functional: PBE
Structure: optimized geometry

Geometry as POSCAR:
```
KTaCu2
1.0
6.184 -0.006 -0.003
3.513 5.090 0.003
-4.086 -3.996 2.362
Cu K Ta
2 1 1
Cartesian
9.595 5.030 0.000
3.824 -0.547 1.180
4.955 2.598 0.000
1.783 1.632 1.182
```

crystal system: orthorhombic
energy of formation: 0.759 eV per atom

---

Compound: KTaCu2
Source: Alexandria
Functional: PBE
Structure: optimized geometry

Geometry as POSCAR:
```
KTaCu2
1.0
-3.067 -2.025 2.992
-4.078 2.176 1.046
-4.099 -1.739 -1.624
K Cu Ta
1 2 1
Cartesian
0.000 0.000 0.000
-2.811 -0.397 0.604
-8.433 -1.190 1.811
-5.622 -0.794 1.207
```

crystal system: cubic
energy of formation: 1.168 eV per atom

---

Compound: KTaCu2
Source: Alexandria
Functional: PBE
Structure: optimized geometry

Geometry as POSCAR:
```
KTaCu2
1.0
10.258 0.092 0.054
9.812 2.994 0.054
9.812 1.509 2.587
Cu K Ta
2 1 1
Cartesian
0.362 0.056 0.033
14.579 2.242 1.315
7.470 1.149 0.674
22.411 3.446 2.021
```

crystal system: trigonal
energy of formation: 0.669 eV per atom

---

Compound: KTaCu2
Source: Alexandria
Functional: PBE
Structure: optimized geometry

Geometry as POSCAR:
```
KTaCu2
1.0
4.594 0.000 0.000
2.297 3.978 0.000
2.297 1.326 3.751
Cu K Ta
2 1 1
Cartesian
0.000 0.000 0.000
2.297 1.326 0.938
4.594 2.652 1.875
6.891 3.978 2.813
```

crystal system: cubic
energy of formation: 1.321 eV per atom

---

Compound: KTaCu2
Source: Alexandria
Functional: PBE
Structure: optimized geometry

Geometry as POSCAR:
```
KTaCu2
1.0
5.230 0.000 0.000
0.000 5.230 0.000
0.000 0.000 2.676
Cu K Ta
2 1 1
Cartesian
0.000 0.000 0.000
2.615 2.615 0.000
2.615 0.000 1.338
0.000 2.615 1.338
```

crystal system: tetragonal
energy of formation: 0.683 eV per atom

---

Compound: KTaCu2
Source: Alexandria
Functional: PBE
Structure: optimized geometry

Geometry as POSCAR:
```
KTaCu2
1.0
-1.639 5.990 -1.919
-6.128 1.671 1.381
6.215 -1.395 1.294
Cu K Ta
2 1 1
Cartesian
-0.350 0.345 -0.024
-3.534 3.486 -0.245
0.346 4.213 -0.448
-1.898 2.054 1.203
```

crystal system: orthorhombic
energy of formation: 1.091 eV per atom

---

Compound: KTaCu2
Source: Alexandria
Functional: PBE
Structure: optimized geometry

Geometry as POSCAR:
```
KTaCu2
1.0
-0.339 0.736 5.611
4.359 -1.179 3.426
-1.088 2.809 -4.802
Cu K Ta
2 1 1
Cartesian
0.000 0.000 0.000
2.641 0.704 1.571
2.010 -0.221 4.518
0.292 1.662 2.663
```

crystal system: tetragonal
energy of formation: 1.256 eV per atom

---

Compound: KTaTl2Cu
Source: Alexandria
Functional: PBE
Structure: optimized geometry

Geometry as POSCAR:
```
KTaTl2Cu
1.0
-0.783 -0.668 5.439
6.596 0.065 0.958
-0.149 5.494 0.653
Tl K Cu Ta
2 1 1 1
Cartesian
-0.074 2.747 0.327
-0.392 -0.334 2.719
3.298 0.032 0.479
2.832 2.446 3.525
0.000 0.000 0.000
```

crystal system: tetragonal
energy of formation: 1.316 eV per atom

---

Compound: KTbCuTe3
Source: Alexandria
Functional: PBE
Structure: optimized geometry

Geometry as POSCAR:
```
KTbCuTe3
1.0
-0.997 -5.147 0.238
6.326 1.710 5.837
-7.356 1.660 5.154
K Tb Cu Te
2 2 2 6
Cartesian
-2.975 0.989 9.101
0.948 -2.767 2.127
-2.807 -1.923 4.602
0.779 0.146 6.626
-2.045 0.478 1.775
0.017 -2.255 9.454
1.776 -2.762 5.746
-1.690 -2.008 7.490
3.780 -0.402 7.384
-0.338 0.231 3.738
-5.808 -1.376 3.844
-3.803 0.984 5.483
```

crystal system: triclinic
uncorrected formation energy: -805 meV per atom

---

Compound: K2Cu2Tc
Source: Alexandria
Functional: PBE
Structure: optimized geometry

Geometry as POSCAR:
```
K2Cu2Tc
1.0
3.228 0.000 0.000
0.000 3.228 0.000
1.614 1.614 11.283
K Tc Cu
2 1 2
Cartesian
1.614 1.614 2.654
3.228 3.228 8.630
0.000 0.000 0.000
3.228 1.614 5.642
1.614 3.228 5.642
```

crystal system: tetragonal
energy of formation: 1.031 eV per atom

---

Compound: KCu3Tc
Source: Alexandria
Functional: PBE
Structure: optimized geometry

Geometry as POSCAR:
```
KCu3Tc
1.0
-3.812 0.022 2.780
-2.773 -0.371 -3.799
0.200 -4.703 0.312
K Tc Cu
1 1 3
Cartesian
0.000 0.000 0.000
-3.192 -2.526 -0.353
-1.386 -0.185 -1.900
0.100 -2.352 0.156
-1.906 0.011 1.390
```

crystal system: cubic
energy of formation: 2.184 eV per atom

---

Compound: KCu3Tc
Source: Alexandria
Functional: PBE
Structure: optimized geometry

Geometry as POSCAR:
```
KCu3Tc
1.0
4.848 0.000 0.000
0.000 4.848 0.000
0.000 0.000 4.848
K Tc Cu
1 1 3
Cartesian
2.424 2.424 2.424
0.000 0.000 0.000
0.000 2.424 0.000
0.000 0.000 2.424
2.424 0.000 0.000
```

crystal system: cubic
energy of formation: 0.991 eV per atom

---

Compound: K3CuTc
Source: Alexandria
Functional: PBE
Structure: optimized geometry

Geometry as POSCAR:
```
K3CuTc
1.0
-1.861 2.302 -5.627
4.516 -3.417 -2.891
-4.071 -4.843 -0.634
K Tc Cu
3 1 1
Cartesian
2.258 -1.708 -1.446
-2.035 -2.421 -0.317
-0.931 1.151 -2.813
0.000 0.000 0.000
-0.708 -2.979 -4.576
```

crystal system: cubic
energy of formation: 1.379 eV per atom

---

Compound: K2Cu2Tc
Source: Alexandria
Functional: PBE
Structure: optimized geometry

Geometry as POSCAR:
```
K2Cu2Tc
1.0
9.504 0.000 0.000
0.000 9.504 0.000
0.000 0.000 2.661
K Tc Cu
4 2 4
Cartesian
3.384 8.136 0.000
8.136 6.120 0.000
6.120 1.368 0.000
1.368 3.384 0.000
0.000 0.000 0.000
4.752 4.752 0.000
1.505 6.257 1.331
6.257 7.999 1.331
7.999 3.247 1.331
3.247 1.505 1.331
```

crystal system: tetragonal
energy of formation: 1.277 eV per atom

---

Compound: KCuTc4
Source: Alexandria
Functional: PBE
Structure: optimized geometry

Geometry as POSCAR:
```
KCuTc4
1.0
0.000 3.734 3.734
3.734 0.000 3.734
3.734 3.734 0.000
K Cu Tc
1 1 4
Cartesian
0.000 0.000 0.000
5.601 5.601 5.601
2.802 4.666 4.666
4.666 4.666 2.802
4.666 2.802 4.666
2.802 2.802 2.802
```

crystal system: cubic
energy of formation: 1.070 eV per atom

---

Compound: KCu4Tc
Source: Alexandria
Functional: PBE
Structure: optimized geometry

Geometry as POSCAR:
```
KCu4Tc
1.0
0.314 -2.085 4.676
-3.807 0.676 3.370
-3.037 -3.936 1.262
K Cu Tc
1 4 1
Cartesian
-1.633 -1.336 2.327
-4.246 -2.296 3.471
-4.088 -3.346 5.826
-2.171 -3.686 4.129
-2.558 -1.364 5.191
0.000 0.000 0.000
```

crystal system: cubic
energy of formation: 0.722 eV per atom

---

Compound: K4CuTc
Source: Alexandria
Functional: PBE
Structure: optimized geometry

Geometry as POSCAR:
```
K4CuTc
1.0
-2.251 -6.747 -0.821
-3.534 -3.265 5.303
-6.992 -1.383 -0.678
K Cu Tc
4 1 1
Cartesian
-5.917 -7.649 1.015
-8.289 -4.965 1.087
-6.559 -5.906 4.079
-4.790 -4.272 1.426
0.000 0.000 0.000
-9.583 -8.547 2.853
```

crystal system: cubic
energy of formation: 1.278 eV per atom

---

Compound: KCuTc2Te
Source: Alexandria
Functional: PBE
Structure: optimized geometry

Geometry as POSCAR:
```
KCuTc2Te
1.0
-0.376 4.141 -3.004
-4.161 1.042 1.956
2.382 2.808 3.572
K Te Tc Cu
1 1 2 1
Cartesian
0.000 0.000 0.000
-1.077 3.995 1.262
1.191 1.404 1.786
-0.188 2.070 -1.502
-2.080 0.521 0.978
```

crystal system: tetragonal
uncorrected formation energy: 2517 meV per atom

---

Compound: KTlCu2Tc
Source: Alexandria
Functional: PBE
Structure: optimized geometry

Geometry as POSCAR:
```
KTlCu2Tc
1.0
-1.383 0.078 -4.913
4.858 -1.887 -1.398
-1.738 -4.782 0.413
K Tl Tc Cu
1 1 1 2
Cartesian
0.869 -3.295 -2.949
0.000 0.000 0.000
2.429 -0.943 -0.699
-0.869 -2.391 0.207
-0.691 0.039 -2.456
```

crystal system: tetragonal
energy of formation: 1.181 eV per atom

---

no.,density of states at the Fermi level (states/eV per cell)
1,4.53
2,1.41
3,3.42
4,4.88
5,3.04
6,7.24
7,2.66
8,2.21
9,2.01
10,3.98
11,2.77
12,3.20
13,0.62
14,3.57
15,3.08
16,3.69
17,5.50
18,2.09
19,4.78
20,4.96
21,4.23
22,12.21
23,7.65
24,7.43
25,4.30
26,7.27
27,5.65
28,4.15